1.
# Mg6NbAlO8, relaxed, DFT PBE
# Magnetic moment: 0.3 μB/f.u.
data_Mg6NbAlO8
_chemical_formula_sum 'Mg6 Nb1 Al1 O8'
_cell_length_a 4.324
_cell_length_b 4.324
_cell_length_c 8.668
_cell_angle_alpha 90.00
_cell_angle_beta 90.00
_cell_angle_gamma 90.00
_symmetry_space_group_name_H-M 'P 4/m m m'
_symmetry_Int_Tables_number 123
_symmetry_space_group_name_Hall '-P 4 2'
loop_
_atom_site_label
_atom_site_fract_x
_atom_site_fract_y
_atom_site_fract_z
Mg1 0.000 0.000 0.000
Mg2 0.000 0.000 0.500
Mg3 0.000 0.500 0.250
Nb1 0.500 0.500 0.000
Al1 0.500 0.500 0.500
O1 0.000 0.000 0.252
O2 0.000 0.500 0.000
O3 0.000 0.500 0.500
O4 0.500 0.500 0.287

---

2.
# PrScCdPb, relaxed, DFT PBE
# Magnetic moment: 0.0 μB/f.u.
data_PrScCdPb
_chemical_formula_sum 'Pr4 Sc4 Cd4 Pb4'
_cell_length_a 7.525
_cell_length_b 7.525
_cell_length_c 7.525
_cell_angle_alpha 90.00
_cell_angle_beta 90.00
_cell_angle_gamma 90.00
_symmetry_space_group_name_H-M 'F -4 3 m'
_symmetry_Int_Tables_number 216
_symmetry_space_group_name_Hall 'F -4 2 3'
loop_
_atom_site_label
_atom_site_fract_x
_atom_site_fract_y
_atom_site_fract_z
Pr1 0.000 0.000 0.000
Sc1 0.000 0.000 0.500
Cd1 0.250 0.250 0.250
Pb1 0.250 0.250 0.750

---

3.
# AgSbTe2I, relaxed, DFT PBE
# Magnetic moment: 0.0 μB/f.u.
data_AgSbTe2I
_chemical_formula_sum 'Ag2 Sb2 Te4 I2'
_cell_length_a 7.244
_cell_length_b 5.879
_cell_length_c 8.580
_cell_angle_alpha 90.00
_cell_angle_beta 99.55
_cell_angle_gamma 90.00
_symmetry_space_group_name_H-M 'P 1 21/m 1'
_symmetry_Int_Tables_number 11
loop_
_symmetry_equiv_pos_as_xyz
'x,y,z'
'-x,-y,-z'
'-x,y+1/2,-z'
'x,-y+1/2,z'
loop_
_atom_site_label
_atom_site_fract_x
_atom_site_fract_y
_atom_site_fract_z
Ag1 0.136 0.250 0.352
Sb1 0.190 0.250 0.888
Te1 0.076 0.750 0.412
Te2 0.133 0.750 0.956
I1 0.480 0.250 0.247

---

4.
# InRhBr2, relaxed, DFT PBE
# Magnetic moment: 1.9 μB/f.u.
data_InRhBr2
_chemical_formula_sum 'In1 Rh1 Br2'
_cell_length_a 5.236
_cell_length_b 5.236
_cell_length_c 3.535
_cell_angle_alpha 90.00
_cell_angle_beta 90.00
_cell_angle_gamma 90.00
_symmetry_space_group_name_H-M 'P 4/m m m'
_symmetry_Int_Tables_number 123
_symmetry_space_group_name_Hall '-P 4 2'
loop_
_atom_site_label
_atom_site_fract_x
_atom_site_fract_y
_atom_site_fract_z
In1 0.000 0.000 0.000
Rh1 0.500 0.500 0.000
Br1 0.000 0.500 0.500

---

| no. | density of states at the Fermi level (states/eV/cell) | E (eV per atom) |
| --- | --- | --- |
| 1 | 3.7 | -6.205 |
| 2 | 14.6 | -4.283 |
| 3 | 2.1 | -3.036 |
| 4 | 4.8 | -3.080 |